{"formula": "NaErO2", "functional": "PBEsol", "state": "optimized geometry", "cell": [[1.673, 0.966, 5.489], [-1.673, 0.966, 5.489], [0.000, -1.932, 5.489]], "species": ["Na", "Er", "O", "O"], "frac_coords": [[0.000, 0.000, 0.000], [0.500, 0.500, 0.500], [0.237, 0.237, 0.237], [0.763, 0.763, 0.763]], "total_magnetization_mub_per_cell": 0.0, "dos_ef_per_ev_cell": 0.00, "energy_ev_per_atom": -7.09, "raw_formation_energy_mev_per_atom": -2880, "spacegroup": "R-3m, No. 166"}